First-principles (PBE-GGA) data for a geometry-optimized LiW2Se structure, as listed in Alexandria.

a = 3.074 Å, b = 4.597 Å, c = 9.382 Å
α = 90.00°, β = 90.00°, γ = 90.00°
Space group Cmmm (No. 65)
Inequivalent atoms, fractional coordinates:
Li 0.000 0.000 0.000 (multiplicity 2)
W 0.000 0.500 0.259 (multiplicity 4)
Se 0.000 0.000 0.500 (multiplicity 2)

Its energy is -0.5162 Ry/atom. For the uncorrected formation energy, the calculation gives 0.80 eV/atom.

***

First-principles (PBE-GGA) data for a geometry-optimized Sr2ErTlSe5 structure, as listed in Alexandria.

a = 4.204 Å, b = 18.526 Å, c = 13.133 Å
α = 90.00°, β = 90.00°, γ = 90.00°
Space group Cmc2_1 (No. 36)
Inequivalent atoms, fractional coordinates:
Sr 0.000 0.119 0.000 (multiplicity 4)
Sr 0.000 0.138 0.633 (multiplicity 4)
Er 0.000 0.211 0.335 (multiplicity 4)
Tl 0.000 0.459 0.764 (multiplicity 4)
Se 0.000 0.053 0.389 (multiplicity 4)
Se 0.000 0.288 0.981 (multiplicity 4)
Se 0.000 0.312 0.685 (multiplicity 4)
Se 0.000 0.360 0.320 (multiplicity 4)
Se 0.000 0.492 0.079 (multiplicity 4)

Its energy is -0.3350 Ry/atom. For the uncorrected formation energy, the calculation gives -1.48 eV/atom.

***

First-principles (PBE-GGA) data for a geometry-optimized Ta2TePdPb structure, as listed in Alexandria.

a = 5.019 Å, b = 5.019 Å, c = 5.207 Å
α = 90.00°, β = 90.00°, γ = 90.00°
Space group P4/mmm (No. 123)
Inequivalent atoms, fractional coordinates:
Ta 0.000 0.500 0.000 (multiplicity 2)
Te 0.000 0.000 0.500 (multiplicity 1)
Pd 0.500 0.500 0.000 (multiplicity 1)
Pb 0.500 0.500 0.500 (multiplicity 1)

Its energy is -0.4369 Ry/atom. For the uncorrected formation energy, the calculation gives 1.20 eV/atom.

***

First-principles (PBE-GGA) data for a geometry-optimized BaMn2ZnMo structure, as listed in Alexandria.

a = 4.824 Å, b = 4.824 Å, c = 5.994 Å
α = 90.00°, β = 90.00°, γ = 90.00°
Space group P4/mmm (No. 123)
Inequivalent atoms, fractional coordinates:
Ba 0.000 0.000 0.000 (multiplicity 1)
Mn 0.000 0.500 0.500 (multiplicity 2)
Zn 0.500 0.500 0.000 (multiplicity 1)
Mo 0.000 0.000 0.500 (multiplicity 1)

Its energy is -0.3931 Ry/atom. The formation energy is 1.125 eV/atom.

***

First-principles (PBE-GGA) data for a geometry-optimized Pa2CuGe4Pd3 structure, as listed in Alexandria.

a = 4.162 Å, b = 4.162 Å, c = 10.574 Å
α = 90.00°, β = 90.00°, γ = 90.00°
Space group P-4m2 (No. 115)
Inequivalent atoms, fractional coordinates:
Pa 0.000 0.500 0.239 (multiplicity 2)
Cu 0.500 0.500 0.000 (multiplicity 1)
Ge 0.000 0.000 0.500 (multiplicity 1)
Ge 0.000 0.500 0.869 (multiplicity 2)
Ge 0.500 0.500 0.500 (multiplicity 1)
Pd 0.000 0.000 0.000 (multiplicity 1)
Pd 0.000 0.500 0.641 (multiplicity 2)

Its energy is -0.4582 Ry/atom. The formation energy is -0.520 eV/atom.

***

First-principles (PBE-GGA) data for a geometry-optimized Nd3Y4Tl structure, as listed in Alexandria.

a = 11.381 Å, b = 7.162 Å, c = 6.285 Å
α = 90.00°, β = 90.00°, γ = 90.00°
Space group Pmn2_1 (No. 31)
Inequivalent atoms, fractional coordinates:
Nd 0.000 0.128 0.000 (multiplicity 2)
Nd 0.237 0.113 0.347 (multiplicity 4)
Y 0.000 0.377 0.540 (multiplicity 2)
Y 0.000 0.630 0.019 (multiplicity 2)
Y 0.240 0.624 0.367 (multiplicity 4)
Tl 0.000 0.860 0.529 (multiplicity 2)

Its energy is -0.3968 Ry/atom. The value obtained for the polymorph energy (0 for the lowest one) is 0.008 eV/atom. The formation energy is -0.083 eV/atom.

***

First-principles (PBE-GGA) data for a geometry-optimized CsK6Bi3 structure, as listed in Alexandria.

a = 11.134 Å, b = 5.946 Å, c = 15.445 Å
α = 90.00°, β = 106.94°, γ = 90.00°
Space group P2_1/m (No. 11)
Inequivalent atoms, fractional coordinates:
Cs 0.084 0.250 0.287 (multiplicity 2)
K 0.047 0.250 0.939 (multiplicity 2)
K 0.265 0.750 0.731 (multiplicity 2)
K 0.314 0.250 0.575 (multiplicity 2)
K 0.357 0.750 0.436 (multiplicity 2)
K 0.374 0.750 0.190 (multiplicity 2)
K 0.415 0.250 0.040 (multiplicity 2)
Bi 0.033 0.750 0.468 (multiplicity 2)
Bi 0.225 0.750 0.950 (multiplicity 2)
Bi 0.451 0.250 0.331 (multiplicity 2)

Its energy is -0.1640 Ry/atom. The formation energy is -0.323 eV/atom.

***

First-principles (PBE-GGA) data for a geometry-optimized BaCaAl2Ru structure, as listed in Alexandria.

a = 4.947 Å, b = 4.947 Å, c = 5.378 Å
α = 90.00°, β = 90.00°, γ = 90.00°
Space group P4/mmm (No. 123)
Inequivalent atoms, fractional coordinates:
Ba 0.000 0.000 0.000 (multiplicity 1)
Ca 0.500 0.500 0.000 (multiplicity 1)
Al 0.000 0.500 0.500 (multiplicity 2)
Ru 0.500 0.500 0.500 (multiplicity 1)

Its energy is -0.3202 Ry/atom. The formation energy is -0.220 eV/atom.

***

First-principles (PBE-GGA) data for a geometry-optimized CsK2Hg6 structure, as listed in Alexandria.

a = 9.5411 Å, b = 9.5411 Å, c = 4.1295 Å
α = 90.00°, β = 90.00°, γ = 120.00°
Space group P6/mmm (No. 191)
Inequivalent atoms, fractional coordinates:
Cs 0.0000 0.0000 0.0000 (multiplicity 1)
K 0.3333 0.6667 0.0000 (multiplicity 2)
Hg 0.0000 0.3398 0.5000 (multiplicity 6)

Its energy is -0.0583 Ry/atom. The value obtained for the polymorph energy (0 for the lowest one) is 0.000 eV/atom. The formation energy is -0.253 eV/atom.

***

First-principles (PBE-GGA) data for a geometry-optimized YEr2Pt structure, as listed in Alexandria.

a = 3.8928 Å, b = 3.8928 Å, c = 26.9545 Å
α = 90.00°, β = 90.00°, γ = 120.00°
Space group R3m (No. 160, hexagonal axes)
Inequivalent atoms, fractional coordinates:
Y 0.0000 0.0000 0.0000 (multiplicity 3)
Er 0.0000 0.0000 0.5587 (multiplicity 3)
Er 0.0000 0.0000 0.7707 (multiplicity 3)
Pt 0.0000 0.0000 0.1642 (multiplicity 3)

Its energy is -0.4373 Ry/atom. The value obtained for the polymorph energy (0 for the lowest one) is 0.190 eV/atom. The formation energy is -0.543 eV/atom.

***

First-principles (PBE-GGA) data for a geometry-optimized SrMn2Re structure, as listed in Alexandria.

a = 6.581 Å, b = 6.581 Å, c = 6.581 Å
α = 90.00°, β = 90.00°, γ = 90.00°
Space group F-43m (No. 216)
Inequivalent atoms, fractional coordinates:
Sr 0.000 0.000 0.000 (multiplicity 4)
Mn 0.000 0.000 0.500 (multiplicity 4)
Mn 0.250 0.250 0.750 (multiplicity 4)
Re 0.250 0.250 0.250 (multiplicity 4)

Its energy is -0.5138 Ry/atom. The value obtained for the polymorph energy (0 for the lowest one) is 0.571 eV/atom. The formation energy is 1.126 eV/atom.

***

First-principles (PBE-GGA) data for a geometry-optimized CaPm2Ga structure, as listed in Alexandria.

a = 3.683 Å, b = 3.683 Å, c = 9.332 Å
α = 90.00°, β = 90.00°, γ = 90.00°
Space group P4/mmm (No. 123)
Inequivalent atoms, fractional coordinates:
Ca 0.000 0.000 0.000 (multiplicity 1)
Pm 0.500 0.500 0.310 (multiplicity 2)
Ga 0.000 0.000 0.500 (multiplicity 1)

Its energy is -0.2838 Ry/atom. The value obtained for the polymorph energy (0 for the lowest one) is 0.000 eV/atom. The formation energy is -0.228 eV/atom.

***

First-principles (PBE-GGA) data for a geometry-optimized Tl2AgGeS4 structure, as listed in Alexandria.

a = 7.633 Å, b = 8.259 Å, c = 11.064 Å
α = 90.00°, β = 90.00°, γ = 90.00°
Space group Imma (No. 74)
Inequivalent atoms, fractional coordinates:
Tl 0.000 0.000 0.000 (multiplicity 4)
Tl 0.250 0.250 0.250 (multiplicity 4)
Ag 0.000 0.000 0.500 (multiplicity 4)
Ge 0.250 0.250 0.750 (multiplicity 4)
S 0.000 0.040 0.742 (multiplicity 8)
S 0.237 0.250 0.522 (multiplicity 8)

Its energy is -0.2747 Ry/atom. For the uncorrected formation energy, the calculation gives -0.15 eV/atom.

***

First-principles (PBE-GGA) data for a geometry-optimized K4Ta3NbO12 structure, as listed in Alexandria.

a = 5.7090 Å, b = 5.7090 Å, c = 27.9674 Å
α = 90.00°, β = 90.00°, γ = 120.00°
Space group R-3m (No. 166, hexagonal axes)
Inequivalent atoms, fractional coordinates:
K 0.0000 0.0000 0.1248 (multiplicity 6)
K 0.0000 0.0000 0.3748 (multiplicity 6)
Ta 0.0000 0.0000 0.2496 (multiplicity 6)
Ta 0.0000 0.0000 0.5000 (multiplicity 3)
Nb 0.0000 0.0000 0.0000 (multiplicity 3)
O 0.0002 0.5001 0.1251 (multiplicity 18)
O 0.0015 0.5008 0.3753 (multiplicity 18)

Its energy is -0.5939 Ry/atom. For the uncorrected formation energy, the calculation gives -2.60 eV/atom.